## InFeNi (PBE)

Data for an optimized crystal structure of InFeNi.

The structure in CIF format:
```
data_InFeNi
_space_group_name_H-M_alt 'P 1'
_space_group_IT_number 1
_cell_length_a 6.279
_cell_length_b 6.279
_cell_length_c 4.146
_cell_angle_alpha 90.00
_cell_angle_beta 90.00
_cell_angle_gamma 120.00
loop_
_space_group_symop_operation_xyz
'x,y,z'
loop_
_atom_site_label
_atom_site_type_symbol
_atom_site_fract_x
_atom_site_fract_y
_atom_site_fract_z
Fe1 Fe 0.222 0.000 0.000
Fe2 Fe 0.000 0.222 0.000
Fe3 Fe 0.778 0.778 0.000
In1 In 0.667 0.333 0.000
In2 In 0.333 0.667 0.000
In3 In 0.000 0.000 0.500
Ni1 Ni 0.566 0.000 0.500
Ni2 Ni 0.434 0.434 0.500
Ni3 Ni 0.000 0.566 0.500
```

Summary:
**ρ**: 8.07 g cm⁻³
**Symmetry**: No. 189

## NbAlZn2 (PBE)

Data for an optimized crystal structure of NbAlZn2.

The structure in CIF format:
```
data_NbAlZn2
_space_group_name_H-M_alt 'P 1'
_space_group_IT_number 1
_cell_length_a 4.468
_cell_length_b 4.468
_cell_length_c 4.468
_cell_angle_alpha 60.00
_cell_angle_beta 60.00
_cell_angle_gamma 60.00
loop_
_space_group_symop_operation_xyz
'x,y,z'
loop_
_atom_site_label
_atom_site_type_symbol
_atom_site_fract_x
_atom_site_fract_y
_atom_site_fract_z
Al1 Al 0.500 0.500 0.500
Nb1 Nb 0.250 0.250 0.250
Zn1 Zn 0.000 0.000 0.000
Zn2 Zn 0.750 0.750 0.750
```

Summary:
**ρ**: 6.60 g cm⁻³
**Symmetry**: No. 216

## NaHfCu3S4 (PBE)

Data for an optimized crystal structure of NaHfCu3S4.

The structure in CIF format:
```
data_NaHfCu3S4
_space_group_name_H-M_alt 'P 1'
_space_group_IT_number 1
_cell_length_a 5.600
_cell_length_b 7.227
_cell_length_c 9.334
_cell_angle_alpha 90.00
_cell_angle_beta 106.66
_cell_angle_gamma 90.00
loop_
_space_group_symop_operation_xyz
'x,y,z'
loop_
_atom_site_label
_atom_site_type_symbol
_atom_site_fract_x
_atom_site_fract_y
_atom_site_fract_z
Cu1 Cu 0.285 0.556 0.021
Cu2 Cu 0.285 0.944 0.021
Cu3 Cu 0.439 0.750 0.265
Cu4 Cu 0.561 0.250 0.735
Cu5 Cu 0.715 0.056 0.979
Cu6 Cu 0.715 0.444 0.979
Hf1 Hf 0.896 0.750 0.200
Hf2 Hf 0.104 0.250 0.800
Na1 Na 0.259 0.250 0.383
Na2 Na 0.741 0.750 0.617
S1 S 0.061 0.250 0.054
S2 S 0.640 0.012 0.219
S3 S 0.640 0.488 0.219
S4 S 0.225 0.750 0.430
S5 S 0.775 0.250 0.570
S6 S 0.360 0.512 0.781
S7 S 0.360 0.988 0.781
S8 S 0.939 0.750 0.946
```

Summary:
**ρ**: 4.78 g cm⁻³
**Symmetry**: No. 11

## NaInPtPb (PBE)

Data for an optimized crystal structure of NaInPtPb.

The structure in CIF format:
```
data_NaInPtPb
_space_group_name_H-M_alt 'P 1'
_space_group_IT_number 1
_cell_length_a 4.951
_cell_length_b 4.951
_cell_length_c 4.951
_cell_angle_alpha 60.00
_cell_angle_beta 60.00
_cell_angle_gamma 60.00
loop_
_space_group_symop_operation_xyz
'x,y,z'
loop_
_atom_site_label
_atom_site_type_symbol
_atom_site_fract_x
_atom_site_fract_y
_atom_site_fract_z
In1 In 0.500 0.500 0.500
Na1 Na 0.750 0.750 0.750
Pb1 Pb 0.000 0.000 0.000
Pt1 Pt 0.250 0.250 0.250
```

Summary:
**ρ**: 10.45 g cm⁻³
**Symmetry**: No. 216

## Nb5Ge4 (PBE)

Data for an optimized crystal structure of Nb5Ge4.

The structure in CIF format:
```
data_Nb5Ge4
_space_group_name_H-M_alt 'P 1'
_space_group_IT_number 1
_cell_length_a 6.764
_cell_length_b 13.215
_cell_length_c 6.838
_cell_angle_alpha 90.00
_cell_angle_beta 90.00
_cell_angle_gamma 90.00
loop_
_space_group_symop_operation_xyz
'x,y,z'
loop_
_atom_site_label
_atom_site_type_symbol
_atom_site_fract_x
_atom_site_fract_y
_atom_site_fract_z
Ge1 Ge 0.811 0.541 0.035
Ge2 Ge 0.811 0.959 0.035
Ge3 Ge 0.454 0.750 0.104
Ge4 Ge 0.819 0.250 0.160
Ge5 Ge 0.319 0.250 0.340
Ge6 Ge 0.954 0.750 0.396
Ge7 Ge 0.311 0.541 0.465
Ge8 Ge 0.311 0.959 0.465
Ge9 Ge 0.689 0.041 0.535
Ge10 Ge 0.689 0.459 0.535
Ge11 Ge 0.046 0.250 0.604
Ge12 Ge 0.681 0.750 0.660
Ge13 Ge 0.181 0.750 0.840
Ge14 Ge 0.546 0.250 0.896
Ge15 Ge 0.189 0.041 0.965
Ge16 Ge 0.189 0.459 0.965
Nb1 Nb 0.828 0.750 0.008
Nb2 Nb 0.154 0.624 0.164
Nb3 Nb 0.154 0.876 0.164
Nb4 Nb 0.519 0.086 0.174
Nb5 Nb 0.519 0.414 0.174
Nb6 Nb 0.019 0.086 0.326
Nb7 Nb 0.019 0.414 0.326
Nb8 Nb 0.654 0.624 0.336
Nb9 Nb 0.654 0.876 0.336
Nb10 Nb 0.328 0.750 0.492
Nb11 Nb 0.672 0.250 0.508
Nb12 Nb 0.346 0.124 0.664
Nb13 Nb 0.346 0.376 0.664
Nb14 Nb 0.981 0.586 0.674
Nb15 Nb 0.981 0.914 0.674
Nb16 Nb 0.481 0.586 0.826
Nb17 Nb 0.481 0.914 0.826
Nb18 Nb 0.846 0.124 0.836
Nb19 Nb 0.846 0.376 0.836
Nb20 Nb 0.172 0.250 0.992
```

Summary:
**ρ**: 8.21 g cm⁻³
**Symmetry**: No. 62

## HoSbPt (PBE)

Data for an optimized crystal structure of HoSbPt.

The structure in CIF format:
```
data_HoSbPt
_space_group_name_H-M_alt 'P 1'
_space_group_IT_number 1
_cell_length_a 4.654
_cell_length_b 4.654
_cell_length_c 4.654
_cell_angle_alpha 60.00
_cell_angle_beta 60.00
_cell_angle_gamma 60.00
loop_
_space_group_symop_operation_xyz
'x,y,z'
loop_
_atom_site_label
_atom_site_type_symbol
_atom_site_fract_x
_atom_site_fract_y
_atom_site_fract_z
Ho1 Ho 0.250 0.250 0.250
Pt1 Pt 0.000 0.000 0.000
Sb1 Sb 0.750 0.750 0.750
```

Summary:
**ρ**: 11.22 g cm⁻³
**Symmetry**: No. 216

For the records above, the corresponding spin magnetization values read 2.56 1.41 0.00 0.00 0.00 0.00 μB per formula unit.
For the records above, the corresponding total energy values read -5.088 -3.927 -5.078 -3.652 -8.064 -6.145 eV/atom.